[1]
This record from the Alexandria database describes a relaxed structure of Y3HgC. The functional is GGA-PBE.

Output
The calculation puts the energy of formation from the pure elements at 0.5693 eV/atom. Its energy above the lowest structure with this stoichiometry is 0.998 eV per atom. Its electronic total energy is -0.1916 hartree per atom.

Unit cell a=4.697 b=4.697 c=8.105 alpha=90.00 beta=90.00 gamma=90.00
Fractional positions:
Y: 0.000 0.000 0.000
Y: 0.000 0.500 0.355
Y: 0.500 0.000 0.355
Hg: 0.000 0.000 0.623
C: 0.500 0.500 0.412

***

[2]
This record from the Alexandria database describes a relaxed structure of CeGdZrCd. The functional is GGA-PBE.

Output
The calculation puts the energy of formation from the pure elements at 0.0651 eV/atom. Its electronic total energy is -0.2684 hartree per atom.

Unit cell a=5.316 b=5.316 c=5.316 alpha=60.00 beta=60.00 gamma=60.00
Fractional positions:
Ce: 0.000 0.000 0.000
Gd: 0.500 0.500 0.500
Zr: 0.250 0.250 0.250
Cd: 0.750 0.750 0.750

***

[3]
This record from the Alexandria database describes a relaxed structure of ThFe12P6. The functional is GGA-PBE.

Output
The calculation puts the energy of formation from the pure elements at -0.5168 eV/atom. Its electronic total energy is -0.2925 hartree per atom.

Unit cell a=6.435 b=6.435 c=6.435 alpha=104.95 beta=104.95 gamma=104.95
Fractional positions:
Th: 0.000 0.000 0.000
Fe: 0.135 0.500 0.865
Fe: 0.135 0.865 0.500
Fe: 0.182 0.450 0.450
Fe: 0.450 0.182 0.450
Fe: 0.450 0.450 0.182
Fe: 0.500 0.135 0.865
Fe: 0.500 0.865 0.135
Fe: 0.550 0.550 0.818
Fe: 0.550 0.818 0.550
Fe: 0.818 0.550 0.550
Fe: 0.865 0.135 0.500
Fe: 0.865 0.500 0.135
P: 0.234 0.234 0.674
P: 0.234 0.674 0.234
P: 0.326 0.766 0.766
P: 0.674 0.234 0.234
P: 0.766 0.326 0.766
P: 0.766 0.766 0.326

***

Question: Which of these has the lowest energy of formation from the pure elements?
Answer: ThFe12P6